(1)
Here is a relaxed structure of Pm2DyGe2Pt7 from the Alexandria database. Energies are from PBE-GGA.

V	234.5	Å³/cell
magnetic moment	0.00	μB per cell
symmetry	C2/m
crystal system	monoclinic
formation energy	-95.8	kJ per mole of atoms

a b c (Å): 4.0966 4.0966 14.1291
angles (deg): 96.03 96.03 89.39
Last column: nearest neighbours and their distance in Å.
Fractional positions:
Pm  0.1146  0.1146  0.3564  5 Pt 3.00-3.18, 4 Ge 3.16-3.32
Pm  0.8854  0.8854  0.6436  5 Pt 3.00-3.18, 4 Ge 3.16-3.32
Dy  0.0000  0.0000  0.0000  12 Pt 2.88-2.96
Ge  0.4070  0.4070  0.7458  5 Pt 2.45-2.49
Ge  0.5930  0.5930  0.2542  5 Pt 2.45-2.49
Pt  0.0565  0.5558  0.1531  2 Ge 2.49
Pt  0.3750  0.3750  0.5710  1 Ge 2.45, 1 Pt 2.65
Pt  0.4442  0.9435  0.8469  2 Ge 2.49
Pt  0.5000  0.5000  0.0000  4 Dy 2.88-2.91, 8 Pt 2.96-2.97
Pt  0.5558  0.0565  0.1531  2 Ge 2.49
Pt  0.6250  0.6250  0.4290  1 Ge 2.45, 1 Pt 2.65
Pt  0.9435  0.4442  0.8469  2 Ge 2.49



(2)
Here is a relaxed structure of CsFeTe2 from the Alexandria database. Energies are from PBE-GGA.

V	119.5	Å³/cell
magnetic moment	1.00	μB per cell
symmetry	R-3m
formation energy (no corrections)	-254	meV per atom
crystal system	trigonal

a b c (Å): 8.7111 8.7111 8.7111
angles (deg): 26.93 26.93 26.93
Last column: nearest neighbours and their distance in Å.
Fractional positions:
Cs  0.0000  0.0000  0.0000  6 Te 3.75, 6 Cs 4.06
Fe  0.5000  0.5000  0.5000  6 Te 2.66
Te  0.2169  0.2169  0.2169  3 Fe 2.66
Te  0.7831  0.7831  0.7831  3 Fe 2.66



(3)
Here is a relaxed structure of BaTcAg4 from the Alexandria database. Energies are from PBE-GGA.

V	134.4	Å³/cell
magnetic moment	3.11	μB per cell
symmetry	F-43m
crystal system	cubic
formation energy	42.8	kJ per mole of atoms

a b c (Å): 5.7499 5.7499 5.7499
angles (deg): 60.00 60.00 60.00
Last column: nearest neighbours and their distance in Å.
Fractional positions:
Ba  0.0000  0.0000  0.0000  12 Ag 3.37, 4 Tc 3.52
Tc  0.7500  0.7500  0.7500  12 Ag 3.37, 4 Ba 3.52
Ag  0.3759  0.3759  0.3759  6 Ag 2.85-2.90
Ag  0.3759  0.3759  0.8722  6 Ag 2.85-2.90
Ag  0.3759  0.8722  0.3759  6 Ag 2.85-2.90
Ag  0.8722  0.3759  0.3759  6 Ag 2.85-2.90



(4)
Here is a relaxed structure of NiP3 from the Alexandria database. Energies are from PBE-GGA.

V	54.1	Å³/cell
magnetic moment	0.00	μB per cell
symmetry	R-3m
polymorph energy (0 for the lowest one)	2.39	eV per formula unit
crystal system	trigonal
formation energy	28.5	kJ per mole of atoms

a b c (Å): 8.0733 8.0733 8.0733
angles (deg): 20.05 20.05 20.05
Last column: nearest neighbours and their distance in Å.
Fractional positions:
Ni  0.0000  0.0000  0.0000  6 P 2.35
P  0.2618  0.2618  0.2618  3 Ni 2.35
P  0.5000  0.5000  0.5000  12 P 2.78-2.81
P  0.7382  0.7382  0.7382  3 Ni 2.35



(5)
Here is a relaxed structure of AgRh4Cl from the Alexandria database. Energies are from PBE-GGA.

V	101.5	Å³/cell
magnetic moment	3.33	μB per cell
symmetry	F-43m
formation energy (no corrections)	706	meV per atom
crystal system	cubic

a b c (Å): 5.2367 5.2367 5.2367
angles (deg): 60.00 60.00 60.00
Last column: nearest neighbours and their distance in Å.
Fractional positions:
Ag  0.0000  0.0000  0.0000  12 Rh 3.07, 4 Cl 3.21
Rh  0.3753  0.3753  0.3753  6 Rh 2.61-2.62
Rh  0.3753  0.3753  0.8741  6 Rh 2.61-2.62
Rh  0.3753  0.8741  0.3753  6 Rh 2.61-2.62
Rh  0.8741  0.3753  0.3753  6 Rh 2.61-2.62
Cl  0.7500  0.7500  0.7500  12 Rh 3.07, 4 Ag 3.21



(6)
Here is a relaxed structure of LiYZr from the Alexandria database. Energies are from PBE-GGA.

V	174.2	Å³/cell
magnetic moment	0.00	μB per cell
symmetry	P6_3/mmc
polymorph energy (0 for the lowest one)	4.66	eV per formula unit
crystal system	hexagonal
formation energy	156.4	kJ per mole of atoms

a b c (Å): 4.3035 4.3035 10.8613
angles (deg): 90.00 90.00 120.00
Last column: nearest neighbours and their distance in Å.
Fractional positions:
Li  0.3333  0.6667  0.2500  3 Y 2.48
Li  0.6667  0.3333  0.7500  3 Y 2.48
Y  0.0000  0.0000  0.2500  3 Li 2.48, 2 Zr 2.72
Y  0.0000  0.0000  0.7500  3 Li 2.48, 2 Zr 2.72
Zr  0.0000  0.0000  0.0000  2 Y 2.72
Zr  0.0000  0.0000  0.5000  2 Y 2.72



(7)
Here is a relaxed structure of BaFe3Ir from the Alexandria database. Energies are from PBE-GGA.

V	106.1	Å³/cell
magnetic moment	7.76	μB per cell
symmetry	Pm-3m
polymorph energy (0 for the lowest one)	9.83	eV per formula unit
crystal system	cubic
formation energy	255.9	kJ per mole of atoms

a b c (Å): 4.7340 4.7340 4.7340
angles (deg): 90.00 90.00 90.00
Last column: nearest neighbours and their distance in Å.
Fractional positions:
Ba  0.0000  0.0000  0.0000  6 Fe 2.37
Fe  0.0000  0.0000  0.5000  2 Ba 2.37
Fe  0.0000  0.5000  0.0000  2 Ba 2.37
Fe  0.5000  0.0000  0.0000  2 Ba 2.37
Ir  0.5000  0.5000  0.5000  12 Fe 3.35



(8)
Here is a relaxed structure of MoPdW2 from the Alexandria database. Energies are from PBE-GGA.

V	63.8	Å³/cell
magnetic moment	0.00	μB per cell
symmetry	Fm-3m
polymorph energy (0 for the lowest one)	0.73	eV per formula unit
crystal system	cubic
formation energy	33.1	kJ per mole of atoms

a b c (Å): 4.4858 4.4858 4.4858
angles (deg): 60.00 60.00 60.00
Last column: nearest neighbours and their distance in Å.
Fractional positions:
Mo  0.0000  0.0000  0.0000  8 W 2.75
Pd  0.5000  0.5000  0.5000  8 W 2.75
W  0.2500  0.2500  0.2500  4 Mo 2.75, 4 Pd 2.75
W  0.7500  0.7500  0.7500  4 Mo 2.75, 4 Pd 2.75



(9)
Here is a relaxed structure of NaBi3Te from the Alexandria database. Energies are from PBE-GGA.

V	169.8	Å³/cell
magnetic moment	0.00	μB per cell
symmetry	Pm-3m
polymorph energy (0 for the lowest one)	1.17	eV per formula unit
formation energy (no corrections)	669	meV per atom
crystal system	cubic

a b c (Å): 5.5375 5.5375 5.5375
angles (deg): 90.00 90.00 90.00
Last column: nearest neighbours and their distance in Å.
Fractional positions:
Na  0.0000  0.0000  0.0000  6 Bi 2.77
Bi  0.0000  0.0000  0.5000  2 Na 2.77
Bi  0.0000  0.5000  0.0000  2 Na 2.77
Bi  0.5000  0.0000  0.0000  2 Na 2.77
Te  0.5000  0.5000  0.5000  12 Bi 3.92



(10)
Here is a relaxed structure of Pr2NiAs3Pt4 from the Alexandria database. Energies are from PBE-GGA.

V	192.4	Å³/cell
magnetic moment	0.00	μB per cell
symmetry	P-4m2
crystal system	tetragonal
formation energy	-77.8	kJ per mole of atoms

a b c (Å): 4.3855 4.3855 10.0029
angles (deg): 90.00 90.00 90.00
Last column: nearest neighbours and their distance in Å.
Fractional positions:
Pr  0.0000  0.5000  0.2467  6 As 3.30-3.32, 2 Ni 3.30, 9 Pt 3.35-3.67
Pr  0.5000  0.0000  0.7533  6 As 3.30-3.32, 2 Ni 3.30, 9 Pt 3.35-3.67
Ni  0.5000  0.5000  0.0000  4 Pt 2.50
As  0.0000  0.0000  0.0000  4 Pt 2.50
As  0.0000  0.5000  0.6349  5 Pt 2.45-2.57
As  0.5000  0.0000  0.3651  5 Pt 2.45-2.57
Pt  0.0000  0.0000  0.5000  4 As 2.57
Pt  0.0000  0.5000  0.8803  3 As 2.45-2.50, 2 Ni 2.50
Pt  0.5000  0.0000  0.1197  3 As 2.45-2.50, 2 Ni 2.50
Pt  0.5000  0.5000  0.5000  4 As 2.57



(11)
Here is a relaxed structure of HfTe2 from the Alexandria database. Energies are from PBE-GGA.

V	96.8	Å³/cell
magnetic moment	0.00	μB per cell
symmetry	P-3m1
formation energy (no corrections)	-830	meV per atom
crystal system	trigonal

a b c (Å): 3.9688 3.9688 7.0935
angles (deg): 90.00 90.00 120.00
Last column: nearest neighbours and their distance in Å.
Fractional positions:
Hf  0.0000  0.0000  0.0000  6 Te 2.90
Te  0.3333  0.6667  0.7505  3 Hf 2.90
Te  0.6667  0.3333  0.2495  3 Hf 2.90



(12)
Here is a relaxed structure of Na2TiV2Te6 from the Alexandria database. Energies are from PBE-GGA.

V	311.4	Å³/cell
magnetic moment	4.14	μB per cell
symmetry	C2/m
formation energy (no corrections)	-583	meV per atom
crystal system	monoclinic

a b c (Å): 6.7321 6.7321 8.1627
angles (deg): 97.09 97.09 119.71
Last column: nearest neighbours and their distance in Å.
Fractional positions:
Na  0.1759  0.8241  0.0000  6 Te 3.20-3.26
Na  0.8241  0.1759  0.0000  6 Te 3.20-3.26
Ti  0.0000  0.0000  0.5000  6 Te 2.78-2.84
V  0.3516  0.6484  0.5000  6 Te 2.71-2.84
V  0.6484  0.3516  0.5000  6 Te 2.71-2.84
Te  0.0519  0.3965  0.6981  2 V 2.77-2.84, 1 Ti 2.78
Te  0.2668  0.2668  0.2795  2 V 2.71, 1 Ti 2.84
Te  0.3965  0.0519  0.6981  2 V 2.77-2.84, 1 Ti 2.78
Te  0.6035  0.9481  0.3019  2 V 2.77-2.84, 1 Ti 2.78
Te  0.7332  0.7332  0.7205  2 V 2.71, 1 Ti 2.84
Te  0.9481  0.6035  0.3019  2 V 2.77-2.84, 1 Ti 2.78



Q: Number 11 is which compound?
A: HfTe2



Please write out number 9 again, unchanged.
Here is a relaxed structure of NaBi3Te from the Alexandria database. Energies are from PBE-GGA.

V	169.8	Å³/cell
magnetic moment	0.00	μB per cell
symmetry	Pm-3m
polymorph energy (0 for the lowest one)	1.17	eV per formula unit
formation energy (no corrections)	669	meV per atom
crystal system	cubic

a b c (Å): 5.5375 5.5375 5.5375
angles (deg): 90.00 90.00 90.00
Last column: nearest neighbours and their distance in Å.
Fractional positions:
Na  0.0000  0.0000  0.0000  6 Bi 2.77
Bi  0.0000  0.0000  0.5000  2 Na 2.77
Bi  0.0000  0.5000  0.0000  2 Na 2.77
Bi  0.5000  0.0000  0.0000  2 Na 2.77
Te  0.5000  0.5000  0.5000  12 Bi 3.92